# 1
Compound: Sm4Ho3Mg2
Source: Alexandria via LeMat-Bulk
Functional: PBE
Structure: relaxed

## Properties
**DOS at the Fermi energy**: 1.120 states/eV/atom
**ΔE_f**: 0.7 kJ per mole of atoms
**Theoretical density**: 6.88 g cm⁻³
**Symmetry**: C2/m (12)
**Calculated volume**: 276 Å³/f.u.

POSCAR file:
```
Sm4Ho3Mg2
1.0
7.504 -2.505 0.000
7.504 2.505 0.000
-2.502 0.000 7.353
Sm Ho Mg
4 3 2
direct
0.054 0.054 0.331
0.278 0.278 0.672
0.722 0.722 0.328
0.946 0.946 0.669
0.389 0.389 0.331
0.500 0.500 0.000
0.611 0.611 0.669
0.168 0.168 0.999
0.832 0.832 0.001
```

# 2
Compound: Sm6Ho5Mg
Source: Alexandria via LeMat-Bulk
Functional: PBE
Structure: relaxed

## Properties
**DOS at the Fermi energy**: 1.226 states/eV/atom
**ΔE_f**: 2.0 kJ per mole of atoms
**Theoretical density**: 7.63 g cm⁻³
**Symmetry**: C2/m (12)
**Calculated volume**: 381 Å³/f.u.

POSCAR file:
```
Sm6Ho5Mg
1.0
5.869 -5.349 0.000
5.869 5.349 0.000
-1.114 0.000 6.067
Sm Ho Mg
6 5 1
direct
0.085 0.419 0.746
0.248 0.248 0.250
0.419 0.085 0.746
0.581 0.915 0.254
0.752 0.752 0.750
0.915 0.581 0.254
0.000 0.000 0.500
0.166 0.834 0.000
0.334 0.666 0.500
0.666 0.334 0.500
0.834 0.166 0.000
0.500 0.500 0.000
```

# 3
Compound: Sm3Ho4Mg
Source: Alexandria via LeMat-Bulk
Functional: PBE
Structure: relaxed

## Properties
**DOS at the Fermi energy**: 1.449 states/eV/atom
**ΔE_f**: 1.9 kJ per mole of atoms
**Theoretical density**: 7.57 g cm⁻³
**Symmetry**: Immm (71)
**Calculated volume**: 249 Å³/f.u.

POSCAR file:
```
Sm3Ho4Mg
1.0
-2.473 2.495 10.089
2.473 -2.495 10.089
2.473 2.495 -10.089
Sm Ho Mg
3 4 1
direct
0.000 0.000 0.000
0.375 0.875 0.500
0.625 0.125 0.500
0.126 0.626 0.500
0.248 0.248 0.000
0.752 0.752 0.000
0.874 0.374 0.500
0.500 0.500 0.000
```

# 4
Compound: Sm2Ho12Mg
Source: Alexandria via LeMat-Bulk
Functional: PBE
Structure: relaxed

## Properties
**DOS at the Fermi energy**: 1.347 states/eV/atom
**ΔE_f**: 10.3 kJ per mole of atoms
**Theoretical density**: 8.11 g cm⁻³
**Symmetry**: C2/m (12)
**Calculated volume**: 472 Å³/f.u.

POSCAR file:
```
Sm2Ho12Mg
1.0
3.490 -5.624 0.000
3.490 5.624 0.000
-3.278 0.000 24.023
Sm Ho Mg
4 24 2
direct
0.019 0.019 0.265
0.476 0.476 0.715
0.524 0.524 0.285
0.981 0.981 0.735
0.041 0.540 0.328
0.061 0.499 0.194
0.124 0.124 0.106
0.157 0.157 0.581
0.162 0.643 0.556
0.200 0.657 0.066
0.331 0.331 0.432
0.343 0.800 0.934
0.354 0.354 0.852
0.357 0.838 0.444
0.460 0.959 0.672
0.499 0.061 0.194
0.501 0.939 0.806
0.540 0.041 0.328
0.643 0.162 0.556
0.646 0.646 0.148
0.657 0.200 0.066
0.669 0.669 0.568
0.800 0.343 0.934
0.838 0.357 0.444
0.843 0.843 0.419
0.876 0.876 0.894
0.939 0.501 0.806
0.959 0.460 0.672
0.279 0.279 0.984
0.721 0.721 0.016
```